# Mn2InAu

A relaxed Mn2InAu crystal (PBE-GGA, Alexandria via LeMat-Bulk).

Geometry as POSCAR:
```
Mn2InAu
1.0
-0.6535 -1.1125 -5.0078
3.7602 -2.9275 -2.0084
-2.9862 -0.3029 4.2111
Mn In Au
2 1 1
Direct
0.0000 0.0000 0.0000
0.2500 0.7500 0.5000
0.7500 0.2500 0.5000
0.5000 0.5000 0.0000
```

Summary:
crystal system: tetragonal
total magnetization: 7.48 μB/f.u.
ΔE_f: 0.137 eV per atom
DOS at the Fermi energy: 0.913 states/eV per atom
space-group type: I-4m2

# Ac6ZnPb5

A relaxed Ac6ZnPb5 crystal (PBE-GGA, Alexandria via LeMat-Bulk).

Geometry as POSCAR:
```
Ac6ZnPb5
1.0
-3.1954 -5.0826 0.3392
-2.0553 -5.2758 7.9986
-8.6062 2.2100 5.2496
Pb Ac Zn
5 6 1
Direct
0.5000 0.1609 0.6783
0.0000 0.6703 0.6595
0.5000 0.8391 0.3217
0.5000 0.5000 0.0000
0.0000 0.3297 0.3405
0.2445 0.2556 0.0000
0.7555 0.7444 0.0000
0.7468 0.4187 0.6685
0.2532 0.5813 0.3315
0.2532 0.9128 0.6685
0.7468 0.0872 0.3315
0.0000 0.0000 0.0000
```

Summary:
crystal system: monoclinic
total magnetization: 0.00 μB/f.u.
ΔE_f: -0.429 eV per atom
DOS at the Fermi energy: 0.766 states/eV per atom
offset from the most stable computed form: 12 meV/atom
space-group type: C2/m

# ZrRh2W

A relaxed ZrRh2W crystal (PBE-GGA, Alexandria via LeMat-Bulk).

Geometry as POSCAR:
```
ZrRh2W
1.0
4.1139 0.0000 0.0000
0.0000 4.1139 0.0000
2.0569 2.0569 8.6843
W Zr Rh
2 2 4
Direct
0.7500 0.2500 0.5000
0.0000 0.0000 0.0000
0.2500 0.7500 0.5000
0.5000 0.5000 0.0000
0.6461 0.1250 0.2500
0.1039 0.6250 0.2500
0.3750 0.3539 0.7500
0.8750 0.8961 0.7500
```

Summary:
crystal system: tetragonal
total magnetization: 0.00 μB/f.u.
ΔE_f: 0.286 eV per atom
DOS at the Fermi energy: 0.177 states/eV per atom
offset from the most stable computed form: 641 meV/atom
space-group type: I-42d

# Cr2MoW

A relaxed Cr2MoW crystal (PBE-GGA, Alexandria via LeMat-Bulk).

Geometry as POSCAR:
```
Cr2MoW
1.0
5.0710 -0.0005 -0.0015
-2.3105 4.4043 0.0070
0.4499 0.7800 2.5087
Cr Mo W
2 1 1
Direct
0.5000 0.0000 0.5000
0.0000 0.0000 0.0000
0.0000 0.5000 0.5000
0.5000 0.5000 0.0000
```

Summary:
crystal system: monoclinic
total magnetization: 0.00 μB/f.u.
ΔE_f: 0.099 eV per atom
DOS at the Fermi energy: 0.787 states/eV per atom
space-group type: C2/m

# BaCoGe

A relaxed BaCoGe crystal (PBE-GGA, Alexandria via LeMat-Bulk).

Geometry as POSCAR:
```
BaCoGe
1.0
-1.0153 -3.6187 -0.9663
1.6577 -1.5476 -3.6772
9.4398 -4.6000 3.4978
Co Ge Ba
2 2 2
Direct
0.8540 0.2786 0.5300
0.1460 0.7214 0.4700
0.5586 0.8295 0.6088
0.4414 0.1705 0.3912
0.2410 0.3647 0.8027
0.7591 0.6353 0.1973
```

Summary:
crystal system: triclinic
total magnetization: 1.00 μB/f.u.
ΔE_f: -0.174 eV per atom
DOS at the Fermi energy: 1.114 states/eV per atom
space-group type: P-1

# PrNdNi2

A relaxed PrNdNi2 crystal (PBE-GGA, Alexandria via LeMat-Bulk).

Geometry as POSCAR:
```
PrNdNi2
1.0
-0.0773 2.4294 2.4944
1.2123 -3.4402 3.3880
4.8271 0.9434 -0.7693
Ni Nd Pr
2 1 1
Direct
0.0000 0.5000 0.0000
0.0000 0.0000 0.5000
0.5000 0.0000 0.0000
0.5000 0.5000 0.5000
```

Summary:
crystal system: tetragonal
total magnetization: 0.00 μB/f.u.
ΔE_f: -0.208 eV per atom
DOS at the Fermi energy: 0.830 states/eV per atom
offset from the most stable computed form: 101 meV/atom
space-group type: P4/mmm